This record from the Alexandria database describes Ba6PtCl after structural relaxation. The functional is GGA-PBE.

Cell: 7.9722 7.9722 15.0848 Å, 90.00 90.00 120.00°
Last column: nearest neighbours and their distance in Å.
Fractional coordinates of all 16 atoms:
Ba: 0.0020 0.3243 0.1197  1 Pt 3.15, 1 Cl 3.35
Ba: 0.0020 0.6777 0.3803  1 Pt 3.15, 1 Cl 3.35
Ba: 0.3223 0.3243 0.3803  1 Pt 3.15, 1 Cl 3.35
Ba: 0.3223 0.9980 0.1197  1 Pt 3.15, 1 Cl 3.35
Ba: 0.3243 0.0020 0.6197  1 Pt 3.15, 1 Cl 3.35
Ba: 0.3243 0.3223 0.8803  1 Pt 3.15, 1 Cl 3.35
Ba: 0.6757 0.6777 0.1197  1 Pt 3.15, 1 Cl 3.35
Ba: 0.6757 0.9980 0.3803  1 Pt 3.15, 1 Cl 3.35
Ba: 0.6777 0.0020 0.8803  1 Pt 3.15, 1 Cl 3.35
Ba: 0.6777 0.6757 0.6197  1 Pt 3.15, 1 Cl 3.35
Ba: 0.9980 0.3223 0.6197  1 Pt 3.15, 1 Cl 3.35
Ba: 0.9980 0.6757 0.8803  1 Pt 3.15, 1 Cl 3.35
Pt: 0.0000 0.0000 0.0000  6 Ba 3.15
Pt: 0.0000 0.0000 0.5000  6 Ba 3.15
Cl: 0.3333 0.6667 0.7500  6 Ba 3.35
Cl: 0.6667 0.3333 0.2500  6 Ba 3.35

Formation energy from raw total energies = -0.70 eV/atom
Crystal system = trigonal
Space group = P-31c